4
Lattice="3.062 0.000 0.000 0.000 4.537 0.000 -1.152 0.000 5.805" Properties=species:S:1:pos:R:3 comment="Ta2InSb, optimized geometry, DFT PBE" e_above_lowest_polymorph_mev_per_atom=195 e_tot_ev_per_atom=-7.33 formation_energy_uncorrected_mev_per_atom=316 m_tot_mub_per_fu=0.0 vol_a3_per_cell=81 pbc="T T T"
Ta 0.380 0.000 1.435
Ta 1.530 0.000 4.370
In 1.531 2.269 0.000
Sb -0.576 2.269 2.903